[1]
This record from Alexandria describes a geometry-optimized RbCrN2 structure. The functional is PBE.

**ΔE to the lowest computed polymorph**: 1678 meV/atom
**Symmetry**: R-3m (166)

abc: 7.8611 7.8611 7.8611
angles: 24.67 24.67 24.67
Sites, in units of the cell vectors:
Rb  0.0000  0.0000  0.0000
Cr  0.5000  0.5000  0.5000
N  0.4249  0.4249  0.4249
N  0.5751  0.5751  0.5751

=====

[2]
This record from Alexandria describes a geometry-optimized AcGaRuN structure. The functional is PBE.

**Symmetry**: P4/nmm (129)
**E_tot**: -6.7568 eV/atom

abc: 4.1686 4.1686 8.8611
angles: 90.00 90.00 90.00
Sites, in units of the cell vectors:
Ac  0.2500  0.2500  0.1606
Ac  0.7500  0.7500  0.8394
Ga  0.2500  0.7500  0.5000
Ga  0.7500  0.2500  0.5000
Ru  0.2500  0.2500  0.6631
Ru  0.7500  0.7500  0.3369
N  0.2500  0.2500  0.8784
N  0.7500  0.7500  0.1216

=====

[3]
This record from Alexandria describes a geometry-optimized ErPa2WC4 structure. The functional is PBE.

**Symmetry**: Cmcm (63)
**E_tot**: -9.2733 eV/atom

abc: 6.1580 6.1580 12.6091
angles: 90.00 90.00 147.53
Sites, in units of the cell vectors:
Er  0.1147  0.8853  0.7500
Er  0.8853  0.1147  0.2500
Pa  0.3658  0.6342  0.5373
Pa  0.3658  0.6342  0.9627
Pa  0.6342  0.3658  0.0373
Pa  0.6342  0.3658  0.4627
W  0.1537  0.8463  0.2500
W  0.8463  0.1537  0.7500
C  0.0000  0.0000  0.0000
C  0.0000  0.0000  0.5000
C  0.2639  0.7361  0.1309
C  0.2639  0.7361  0.3691
C  0.4431  0.5569  0.7500
C  0.5569  0.4431  0.2500
C  0.7361  0.2639  0.6309
C  0.7361  0.2639  0.8691

=====

| no. | calculated volume (A^3/atom) |
| --- | --- |
| 1 | 18.61 |
| 2 | 19.25 |
| 3 | 16.04 |